Density functional theory data (meta-GGA SCAN) for a PBEsol-optimized structure of Ir3PdF.

Summary:
Crystal system: cubic
Formation energy (no corrections): 11.94 eV per formula unit

Cell lengths 4.712, 4.712, 4.712 Å; angles 90.00, 90.00, 90.00 degrees
Element x y z (fractional)
Ir 0.000 0.000 0.500
Ir 0.000 0.500 0.000
Ir 0.500 0.000 0.000
Pd 0.000 0.000 0.000
F 0.500 0.500 0.500